1.
First-principles (GGA-PBE) data for a relaxed RbTePb2O2 crystal, as listed in Alexandria via LeMat-Bulk.

POSCAR file:
```
RbTePb2O2
1.0
-3.9298 4.7907 -1.0314
-4.6149 -4.3133 -2.4511
-2.6491 -0.3639 8.4037
Rb Te Pb O
2 2 4 4
direct
0.2500 0.1629 0.9305
0.7500 0.8371 0.0695
0.7500 0.3178 0.6219
0.2500 0.6822 0.3781
0.2500 0.1535 0.3731
0.2500 0.6293 0.7240
0.7500 0.8465 0.6269
0.7500 0.3707 0.2760
0.4999 0.1556 0.2035
0.0001 0.1556 0.2035
0.9999 0.8444 0.7965
0.5001 0.8444 0.7965
```

Computed properties:
- Space group: P2_1/m
- Crystal system: monoclinic

2.
First-principles (GGA-PBE) data for a relaxed RbTePb2O6 crystal, as listed in Alexandria via LeMat-Bulk.

POSCAR file:
```
RbTePb2O6
1.0
5.9877 0.0003 0.0004
2.9941 5.1850 0.0001
2.9939 1.7286 5.7300
Rb Te Pb O
1 1 2 6
direct
0.7957 0.7957 0.6129
0.3281 0.3281 0.0157
0.5338 0.5339 0.3985
0.0070 0.0070 0.9790
0.5429 0.2616 0.2049
0.2615 0.9906 0.2050
0.9906 0.5430 0.2050
0.3434 0.6828 0.7980
0.6828 0.1757 0.7981
0.1758 0.3433 0.7981
```

Computed properties:
- Space group: R3
- Crystal system: trigonal

3.
First-principles (GGA-PBE) data for a relaxed RbTePbO6 crystal, as listed in Alexandria via LeMat-Bulk.

POSCAR file:
```
RbTePbO6
1.0
5.5876 0.0000 -0.0001
2.7938 4.8390 0.0001
0.0001 -0.0001 6.3415
Rb Te Pb O
1 1 1 6
direct
0.0000 0.0000 0.0000
0.3333 0.3333 0.5000
0.6666 0.6667 0.5000
0.0328 0.3673 0.3193
0.3672 0.0328 0.6806
0.5999 0.3673 0.6806
0.0328 0.6000 0.6806
0.3672 0.5999 0.3193
0.5999 0.0328 0.3193
```

Computed properties:
- Space group: P312
- Crystal system: trigonal

4.
First-principles (GGA-PBE) data for a relaxed RbTe2Pb2O6 crystal, as listed in Alexandria via LeMat-Bulk.

POSCAR file:
```
RbTe2Pb2O6
1.0
-2.7034 2.1172 4.6693
-1.3442 -4.7110 6.0414
6.4679 3.1387 1.4575
Rb Te Pb O
1 2 2 6
direct
0.5000 0.0000 0.5000
0.2210 0.5632 0.6295
0.7790 0.4368 0.3705
0.8441 0.3311 0.8880
0.1559 0.6689 0.1120
0.4456 0.6023 0.8400
0.9393 0.4895 0.1761
0.0083 0.8352 0.6318
0.0607 0.5105 0.8239
0.9917 0.1648 0.3682
0.5544 0.3977 0.1600
```

Computed properties:
- Space group: P-1
- Crystal system: triclinic

5.
First-principles (GGA-PBE) data for a relaxed Rb2TePbO crystal, as listed in Alexandria via LeMat-Bulk.

POSCAR file:
```
Rb2TePbO
1.0
-1.6148 -0.7469 5.3464
1.4834 -5.4270 -0.3101
4.5761 1.1625 1.5445
Pb Te O Rb
1 1 1 2
direct
0.0000 0.0000 0.5000
0.5000 0.5000 0.5000
0.0000 0.0000 0.0000
0.0000 0.5000 0.0000
0.5000 0.0000 0.0000
```

Computed properties:
- Space group: P4/mmm
- Crystal system: tetragonal

6.
First-principles (GGA-PBE) data for a relaxed Rb2TePb2O6 crystal, as listed in Alexandria via LeMat-Bulk.

POSCAR file:
```
Rb2TePb2O6
1.0
6.0766 0.2812 0.0919
-2.7589 5.4215 0.0919
-1.1519 -1.9800 6.5283
Rb Te Pb O
2 1 2 6
direct
0.8186 0.1814 0.0000
0.1814 0.8186 0.0000
0.0000 0.0000 0.5000
0.3361 0.6639 0.5000
0.6639 0.3361 0.5000
0.8294 0.8294 0.6854
0.0437 0.3270 0.6648
0.1706 0.1706 0.3146
0.3270 0.0437 0.6648
0.9563 0.6730 0.3352
0.6730 0.9563 0.3352
```

Computed properties:
- Space group: C2/m
- Crystal system: monoclinic

7.
First-principles (GGA-PBE) data for a relaxed Rb2TePbO4 crystal, as listed in Alexandria via LeMat-Bulk.

POSCAR file:
```
Rb2TePbO4
1.0
-1.8914 -1.1474 -7.5940
6.0478 -5.0787 -0.3898
-5.5010 -1.1284 5.4516
Rb Te Pb O
4 2 2 8
direct
0.5056 0.0208 0.0360
0.4791 0.9946 0.4640
0.0065 0.9912 0.4538
0.5088 0.4938 0.0466
0.4712 0.5356 0.5672
0.9644 0.0285 0.9327
0.9807 0.4916 0.9484
0.0083 0.5193 0.5515
0.2095 0.6778 0.9428
0.8224 0.2904 0.5571
0.3297 0.7204 0.5541
0.7797 0.1703 0.9458
0.6769 0.6869 0.8999
0.8129 0.8230 0.6000
0.2880 0.3439 0.5430
0.1562 0.2118 0.9571
```

Computed properties:
- Space group: C2
- Crystal system: monoclinic

8.
First-principles (GGA-PBE) data for a relaxed Rb2Te2PbO6 crystal, as listed in Alexandria via LeMat-Bulk.

POSCAR file:
```
Rb2Te2PbO6
1.0
6.5379 0.0000 0.0000
-3.2690 5.0298 -0.0923
0.0000 -2.9176 7.2499
Rb Te Pb O
2 2 1 6
direct
0.6978 0.3955 0.1359
0.3022 0.6045 0.8641
0.9120 0.8241 0.7543
0.0880 0.1759 0.2457
0.5000 0.0000 0.5000
0.7647 0.5294 0.5168
0.1966 0.9371 0.2402
0.2595 0.0629 0.7598
0.8034 0.0629 0.7598
0.7405 0.9371 0.2402
0.2353 0.4706 0.4832
```

Computed properties:
- Space group: C2/m
- Crystal system: monoclinic

Respective raw formation energy values: -0.8695; -1.1243; -0.9559; -1.0309; -0.8276; -1.2384; -1.3063; -1.2674 eV/atom.
Respective V values: 186; 178; 171; 279; 158; 222; 176; 237 Å³/f.u..